This record from Alexandria via LeMat-Bulk describes SrFeCu2 after structural relaxation. The functional is PBE.

Structure (extended XYZ):
```
4
Lattice="3.1122 0.0000 0.0000 0.0000 3.4041 0.0000 0.0000 0.0000 6.8372" Properties=species:S:1:pos:R:3 pbc="T T T"
Cu 0.0000 0.0000 0.4895
Sr 1.5561 1.7021 5.1580
Cu 1.5561 1.7021 1.7098
Fe 0.0000 0.0000 2.8985
```

Summary:
* space group: Pmm2
* E_form: 0.421 eV/atom
* V: 18.11 A^3/atom


This record from Alexandria via LeMat-Bulk describes LiEuGaCu after structural relaxation. The functional is PBE.

Structure (extended XYZ):
```
4
Lattice="-1.4388 4.1654 1.7577 -2.7860 2.8336 -2.5922 -4.5436 0.6188 1.2178" Properties=species:S:1:pos:R:3 pbc="T T T"
Ga -4.3842 3.8089 0.1917
Li -6.5763 5.7134 0.2875
Cu -2.1921 1.9045 0.0958
Eu 0.0000 0.0000 0.0000
```

Summary:
* space group: F-43m
* E_form: -0.168 eV/atom
* V: 18.88 A^3/atom


| no. | N(E_F) (states/eV per atom) |
| --- | --- |
| 1 | 0.84 |
| 2 | 2.59 |